BeHg2Se (meta-GGA SCAN, PBEsol geometry); E_form (uncorrected) = 0.55 eV/atom; crystal system = tetragonal; VASP energy = -39.6376 eV per atom; energy relative to the lowest polymorph listed for this composition = 1.36 eV per formula unit
1.0
-2.4063 2.4063 3.4581
2.4063 -2.4063 3.4581
2.4063 2.4063 -3.4581
Be Hg Se
1 2 1
Direct
0.0000 0.0000 0.0000 Be
0.5000 0.5000 0.0000 Hg
0.7500 0.2500 0.5000 Hg
0.2500 0.7500 0.5000 Se

BeHgSe2 (meta-GGA SCAN, PBEsol geometry); E_form (uncorrected) = 0.72 eV/atom; crystal system = cubic; VASP energy = -27.4485 eV per atom; energy relative to the lowest polymorph listed for this composition = 5.04 eV per formula unit
1.0
0.0000 3.3413 3.3413
3.3413 0.0000 3.3413
3.3413 3.3413 0.0000
Be Hg Se
1 1 2
Direct
0.0000 0.0000 0.0000 Be
0.2500 0.2500 0.2500 Hg
0.5000 0.5000 0.5000 Se
0.7500 0.7500 0.7500 Se

Be2SiHg (meta-GGA SCAN, PBEsol geometry); E_form (uncorrected) = 0.58 eV/atom; crystal system = tetragonal; VASP energy = -21.1382 eV per atom; energy relative to the lowest polymorph listed for this composition = 0.55 eV per formula unit
1.0
3.8895 0.0000 0.0000
0.0000 3.8895 0.0000
0.0000 0.0000 3.5934
Be Si Hg
2 1 1
Direct
0.0000 0.5000 0.0000 Be
0.5000 0.0000 0.0000 Be
0.0000 0.0000 0.5000 Si
0.5000 0.5000 0.5000 Hg

Be2SiHg (meta-GGA SCAN, PBEsol geometry); E_form (uncorrected) = 0.49 eV/atom; crystal system = orthorhombic; VASP energy = -21.2280 eV per atom; energy relative to the lowest polymorph listed for this composition = 0.19 eV per formula unit
1.0
2.8426 0.0000 0.0000
0.0000 3.3989 0.0000
0.0000 0.0000 5.5253
Be Si Hg
2 1 1
Direct
0.0000 0.0000 0.1959 Be
0.0000 0.0000 0.8041 Be
0.5000 0.5000 0.0000 Si
0.5000 0.5000 0.5000 Hg

Be2SiHg2 (meta-GGA SCAN, PBEsol geometry); E_form (uncorrected) = 0.53 eV/atom; crystal system = tetragonal; VASP energy = -30.4839 eV per atom
1.0
-1.7887 1.7887 6.1913
1.7887 -1.7887 6.1913
1.7887 1.7887 -6.1913
Be Si Hg
2 1 2
Direct
0.2500 0.7500 0.5000 Be
0.7500 0.2500 0.5000 Be
0.0000 0.0000 0.0000 Si
0.3834 0.3834 0.0000 Hg
0.6166 0.6166 0.0000 Hg

Be2SiHg (meta-GGA SCAN, PBEsol geometry); E_form (uncorrected) = 0.57 eV/atom; crystal system = tetragonal; VASP energy = -21.1555 eV per atom; energy relative to the lowest polymorph listed for this composition = 0.48 eV per formula unit
1.0
2.7867 0.0000 0.0000
0.0000 2.7867 0.0000
0.0000 0.0000 6.9765
Be Si Hg
2 1 1
Direct
0.0000 0.0000 0.2131 Be
0.0000 0.0000 0.7869 Be
0.5000 0.5000 0.0000 Si
0.5000 0.5000 0.5000 Hg

BeSiHg2 (meta-GGA SCAN, PBEsol geometry); E_form (uncorrected) = 0.49 eV/atom; crystal system = trigonal; VASP energy = -37.1823 eV per atom; energy relative to the lowest polymorph listed for this composition = 0.00 eV per formula unit
1.0
1.5910 0.9186 7.9189
-1.5910 0.9186 7.9189
0.0000 -1.8371 7.9189
Be Si Hg
1 1 2
Direct
0.0000 0.0000 0.0000 Be
0.5000 0.5000 0.5000 Si
0.2589 0.2589 0.2589 Hg
0.7411 0.7411 0.7411 Hg

BeSiHg2 (meta-GGA SCAN, PBEsol geometry); E_form (uncorrected) = 0.67 eV/atom; crystal system = orthorhombic; VASP energy = -37.0034 eV per atom; energy relative to the lowest polymorph listed for this composition = 0.72 eV per formula unit
1.0
3.3227 0.0000 0.0000
0.0000 4.1070 0.0000
0.0000 0.0000 5.4033
Be Si Hg
1 1 2
Direct
0.0000 0.0000 0.0000 Be
0.5000 0.0000 0.5000 Si
0.0000 0.5000 0.5000 Hg
0.5000 0.5000 0.0000 Hg

Be2SiHg (meta-GGA SCAN, PBEsol geometry); E_form (uncorrected) = 0.45 eV/atom; crystal system = trigonal; VASP energy = -21.2760 eV per atom; energy relative to the lowest polymorph listed for this composition = 0.00 eV per formula unit
1.0
1.4570 0.8412 7.4249
-1.4570 0.8412 7.4249
0.0000 -1.6824 7.4249
Be Si Hg
2 1 1
Direct
0.2432 0.2432 0.2432 Be
0.7568 0.7568 0.7568 Be
0.5000 0.5000 0.5000 Si
0.0000 0.0000 0.0000 Hg

BeSnHg3 (meta-GGA SCAN, PBEsol geometry); E_form = 0.78 eV/atom; crystal system = cubic; VASP energy = -48.1794 eV per atom
1.0
5.4847 0.0000 0.0000
0.0000 5.4847 0.0000
0.0000 0.0000 5.4847
Be Sn Hg
1 1 3
Direct
0.0000 0.0000 0.0000 Be
0.5000 0.5000 0.5000 Sn
0.0000 0.5000 0.5000 Hg
0.5000 0.0000 0.5000 Hg
0.5000 0.5000 0.0000 Hg

SrBe2Hg (meta-GGA SCAN, PBEsol geometry); E_form = 0.24 eV/atom; crystal system = orthorhombic; VASP energy = -24.5456 eV per atom
1.0
-2.1464 2.7306 3.3986
2.1464 -2.7306 3.3986
2.1464 2.7306 -3.3986
Sr Be Hg
1 2 1
Direct
0.0000 0.0000 0.0000 Sr
0.3330 0.8330 0.5000 Be
0.6670 0.1670 0.5000 Be
0.5000 0.5000 0.0000 Hg

TaBeHg (meta-GGA SCAN, PBEsol geometry); E_form = 0.19 eV/atom; crystal system = tetragonal; VASP energy = -46.1764 eV per atom
1.0
-1.4534 1.4534 5.3936
1.4534 -1.4534 5.3936
1.4534 1.4534 -5.3936
Ta Be Hg
1 1 1
Direct
0.0000 0.0000 0.0000 Ta
0.6487 0.6487 0.0000 Be
0.2957 0.2957 0.0000 Hg